{
  "formula": "CuAu3",
  "functional": "meta-GGA SCAN",
  "state": "single point on PBEsol structure",
  "lattice": [[-2.3807, 1.8722, 3.5005], [-1.3683, -4.4647, 1.4574], [4.4982, -0.3234, 3.2323]],
  "species": ["Au", "Au", "Au", "Au", "Au", "Au", "Cu", "Cu"],
  "fractional_positions": [[0.5000, 0.3446, 0.0000], [0.0000, 0.1663, 0.7510], [0.5000, 0.8337, 0.7490], [0.0000, 0.6554, 0.5000], [0.0000, 0.1663, 0.2490], [0.5000, 0.8337, 0.2510], [0.0000, 0.6660, 0.0000], [0.5000, 0.3340, 0.5000]],
  "volume_a3_per_atom": 15.70,
  "formation_enthalpy_0k_mev_per_atom": -29.3,
  "space_group": "Pmmn",
  "dft_energy_ev_per_atom": -55.697,
  "mass_density_g_cm3": 17.30
}